# 1
VASP calculation (PBE-GGA) on PmZrB4 after structural relaxation.

```
6
Lattice="-2.983 -1.029 0.724 2.409 -0.392 2.128 -1.611 6.837 3.082" Properties=species:S:1:pos:R:3 pbc="T T T"
B -1.626 1.050 2.034
B 0.171 1.263 2.502
B -2.357 4.153 3.432
B -0.560 4.366 3.901
Pm 0.000 0.000 0.000
Zr -0.806 3.419 1.541
```

Computed properties:
Spin magnetization: 0.00 μB per cell
Space group: P6/mmm, No. 191
E above lowest polymorph: 0.000 eV per atom

=====

# 2
VASP calculation (PBE-GGA) on Y3Tm3ReTe2 after structural relaxation.

```
9
Lattice="-0.342 -1.326 8.122 -1.492 -6.171 -5.247 4.005 -0.976 0.009" Properties=species:S:1:pos:R:3 pbc="T T T"
Re 0.000 0.000 0.000
Te 1.277 -3.429 3.670
Te 0.894 -5.044 -0.786
Tm -0.132 -0.510 3.123
Tm -0.574 -2.373 -2.018
Tm -1.129 -4.614 1.769
Y 1.744 -1.493 6.160
Y 1.559 -2.303 0.701
Y 0.872 -5.165 -3.972
```

Computed properties:
Spin magnetization: 0.07 μB per cell
Space group: P-62m, No. 189
E above lowest polymorph: 0.078 eV per atom

=====

# 3
VASP calculation (PBE-GGA) on AgTePbF after structural relaxation.

```
8
Lattice="4.267 0.000 0.000 0.000 4.267 0.000 0.000 0.000 9.916" Properties=species:S:1:pos:R:3 pbc="T T T"
Ag 0.000 0.000 4.958
Ag 2.134 2.134 4.958
F 0.000 0.000 0.000
F 2.134 2.134 0.000
Pb 2.134 0.000 1.468
Pb 0.000 2.134 8.448
Te 0.000 2.134 2.977
Te 2.134 0.000 6.940
```

Computed properties:
Space group: P4/nmm, No. 129
E above lowest polymorph: 0.000 eV per atom

=====

# 4
VASP calculation (PBE-GGA) on SmAgPO after structural relaxation.

```
8
Lattice="4.321 0.000 0.000 0.000 6.393 0.000 0.000 0.000 5.322" Properties=species:S:1:pos:R:3 pbc="T T T"
Ag 0.000 4.150 0.111
Ag 0.000 2.243 2.772
O 2.161 2.681 2.199
O 2.161 3.712 4.860
P 0.000 6.302 1.494
P 0.000 0.091 4.155
Sm 2.161 1.598 0.209
Sm 2.161 4.795 2.870
```

Computed properties:
Spin magnetization: 0.00 μB per cell
Space group: Pmc2_1, No. 26
E above lowest polymorph: 0.343 eV per atom

=====

# 5
VASP calculation (PBE-GGA) on LiPrTl after structural relaxation.

```
3
Lattice="0.000 3.634 3.634 3.634 0.000 3.634 3.634 3.634 0.000" Properties=species:S:1:pos:R:3 pbc="T T T"
Li 1.817 1.817 1.817
Pr 0.000 0.000 0.000
Tl 5.451 5.451 5.451
```

Computed properties:
Spin magnetization: 0.00 μB per cell
Space group: F-43m, No. 216
E above lowest polymorph: 0.316 eV per atom

=====

# 6
VASP calculation (PBE-GGA) on InCuReTe3 after structural relaxation.

```
12
Lattice="-2.504 5.921 4.383 -4.441 6.295 1.086 -7.451 -5.896 3.709" Properties=species:S:1:pos:R:3 pbc="T T T"
Cu -2.113 -1.033 1.124
Cu -12.283 7.354 8.052
In -7.033 7.620 4.998
In -7.363 -1.300 4.179
Re -3.473 6.108 2.734
Re -7.198 3.160 4.588
Te -1.187 1.317 0.847
Te -4.803 3.697 3.242
Te -4.308 -1.152 2.401
Te -10.088 7.473 6.776
Te -9.593 2.623 5.935
Te -13.209 5.003 8.330
```

Computed properties:
Spin magnetization: 1.56 μB per cell
VASP energy: -4.547 eV per atom
Space group: Cmcm, No. 63

=====

# 7
VASP calculation (PBE-GGA) on HfNb2Re after structural relaxation.

```
4
Lattice="-0.725 3.759 -0.209 -1.113 -0.417 -3.645 -5.105 -0.892 1.661" Properties=species:S:1:pos:R:3 pbc="T T T"
Hf -2.552 -0.446 0.831
Nb 0.000 0.000 0.000
Nb -3.472 1.225 -1.097
Re -0.919 1.671 -1.927
```

Computed properties:
Energy of formation: 0.99 eV per atom
Spin magnetization: 0.00 μB per cell
Space group: P4/mmm, No. 123

=====

# 8
VASP calculation (PBE-GGA) on Sr2Tc2O5 after structural relaxation.

```
9
Lattice="7.611 0.000 0.000 0.000 3.931 0.000 0.000 0.000 3.931" Properties=species:S:1:pos:R:3 pbc="T T T"
O 1.688 1.966 0.000
O 5.923 1.966 0.000
O 1.688 0.000 1.966
O 5.923 0.000 1.966
O 3.805 1.966 1.966
Sr 0.000 0.000 0.000
Sr 3.805 0.000 0.000
Tc 1.666 1.966 1.966
Tc 5.945 1.966 1.966
```

Computed properties:
Spin magnetization: 0.02 μB per cell
Space group: P4/mmm, No. 123
E above lowest polymorph: 0.000 eV per atom

=====

# 9
VASP calculation (PBE-GGA) on GdHoH2O4 after structural relaxation.

```
8
Lattice="4.301 0.000 0.000 0.000 3.610 0.000 -1.988 0.000 5.607" Properties=species:S:1:pos:R:3 pbc="T T T"
Gd -0.906 0.000 4.544
H 1.382 0.000 2.266
H 0.932 1.805 3.303
Ho 3.213 1.805 1.080
O 1.045 1.805 0.331
O 2.344 0.000 2.421
O -0.027 1.805 3.143
O 1.267 0.000 5.341
```

Computed properties:
Spin magnetization: 0.00 μB per cell
VASP energy: -7.120 eV per atom
Space group: Pm, No. 6

=====

# 10
VASP calculation (PBE-GGA) on CsSm2CuTeS3 after structural relaxation.

```
16
Lattice="2.093 -7.320 0.000 2.093 7.320 0.000 0.000 0.000 14.479" Properties=species:S:1:pos:R:3 pbc="T T T"
Cs 2.093 -1.906 3.620
Cs 2.093 1.906 10.859
Cu 2.093 2.465 3.620
Cu 2.093 -2.465 10.859
S 2.093 0.000 0.000
S 2.093 3.633 1.517
S 2.093 3.633 5.723
S 2.093 0.000 7.239
S 2.093 -3.633 8.756
S 2.093 -3.633 12.962
Sm 2.093 -5.374 0.719
Sm 2.093 -5.374 6.520
Sm 2.093 5.374 7.959
Sm 2.093 5.374 13.759
Te 2.093 -6.377 3.620
Te 2.093 6.377 10.859
```

Computed properties:
Spin magnetization: 0.00 μB per cell
Space group: Cmcm, No. 63
E above lowest polymorph: 0.052 eV per atom

=====

# 11
VASP calculation (PBE-GGA) on CuAsPtW after structural relaxation.

```
4
Lattice="-1.894 -3.263 2.400 -4.141 0.521 1.606 -3.380 -2.369 -1.722" Properties=species:S:1:pos:R:3 pbc="T T T"
As 0.000 0.000 0.000
Cu -7.061 -3.833 1.713
Pt -2.354 -1.278 0.571
W -4.707 -2.556 1.142
```

Computed properties:
Spin magnetization: 1.83 μB per cell
Space group: F-43m, No. 216
E above lowest polymorph: 0.395 eV per atom

=====

# 12
VASP calculation (PBE-GGA) on TlAg2W after structural relaxation.

```
4
Lattice="2.161 -4.183 0.404 -1.805 -3.809 -2.138 2.210 -1.888 -3.727" Properties=species:S:1:pos:R:3 pbc="T T T"
Ag 0.000 0.000 0.000
Ag 1.924 -7.410 -4.095
Tl 1.283 -4.940 -2.730
W 0.641 -2.470 -1.365
```

Computed properties:
Spin magnetization: 2.09 μB per cell
VASP energy: -4.314 eV per atom
Space group: F-43m, No. 216

=====

# 13
VASP calculation (PBE-GGA) on LuBAu after structural relaxation.

```
3
Lattice="0.000 2.949 2.949 2.949 0.000 2.949 2.949 2.949 0.000" Properties=species:S:1:pos:R:3 pbc="T T T"
Au 1.474 1.474 1.474
B 0.000 0.000 0.000
Lu 4.423 4.423 4.423
```

Computed properties:
Spin magnetization: 0.00 μB per cell
Space group: F-43m, No. 216
E above lowest polymorph: 0.000 eV per atom

=====

# 14
VASP calculation (PBE-GGA) on BeCuSi after structural relaxation.

```
3
Lattice="0.000 2.632 2.632 2.632 0.000 2.632 2.632 2.632 0.000" Properties=species:S:1:pos:R:3 pbc="T T T"
Be 0.000 0.000 0.000
Cu 1.316 1.316 1.316
Si 3.948 3.948 3.948
```

Computed properties:
Space group: F-43m, No. 216
E above lowest polymorph: 0.010 eV per atom

=====

# 15
VASP calculation (PBE-GGA) on SnTePtO after structural relaxation.

```
16
Lattice="6.841 0.000 0.000 0.000 9.187 0.000 0.000 0.000 5.814" Properties=species:S:1:pos:R:3 pbc="T T T"
O 6.529 0.462 0.452
O 3.108 8.725 0.452
O 3.733 0.462 3.359
O 0.313 8.725 3.359
Pt 1.793 1.207 0.363
Pt 5.214 7.981 0.363
Pt 1.628 1.207 3.270
Pt 5.048 7.981 3.270
Sn 6.360 2.481 0.320
Sn 2.940 6.706 0.320
Sn 3.902 2.481 3.227
Sn 0.481 6.706 3.227
Te 3.440 3.150 0.319
Te 0.019 6.037 0.319
Te 6.822 3.150 3.226
Te 3.401 6.037 3.226
```

Computed properties:
Spin magnetization: 0.00 μB per cell
Space group: Pca2_1, No. 29
E above lowest polymorph: 0.457 eV per atom

=====

# 16
VASP calculation (PBE-GGA) on AlB4W after structural relaxation.

```
6
Lattice="2.975 0.000 0.000 -1.487 2.576 0.000 0.000 0.000 6.817" Properties=species:S:1:pos:R:3 pbc="T T T"
Al 0.000 0.000 3.408
B 1.487 0.859 1.761
B 0.000 1.718 1.761
B 1.487 0.859 5.056
B 0.000 1.718 5.056
W 0.000 0.000 0.000
```

Computed properties:
Spin magnetization: 0.01 μB per cell
Space group: P6/mmm, No. 191
E above lowest polymorph: 0.028 eV per atom

=====

# 17
VASP calculation (PBE-GGA) on In3Ni after structural relaxation.

```
8
Lattice="-1.255 -0.428 6.706 5.380 -3.252 -2.685 2.459 3.503 0.684" Properties=species:S:1:pos:R:3 pbc="T T T"
In 2.347 -0.388 0.414
In 4.217 -2.056 2.237
In 4.785 -1.862 -0.803
In 1.799 1.684 5.507
In 2.367 1.878 2.468
In 4.237 0.210 4.290
Ni 1.572 -0.494 3.747
Ni 5.013 0.316 0.958
```

Computed properties:
Spin magnetization: 0.01 μB per cell
VASP energy: -3.272 eV per atom
Space group: P6_3/mmc, No. 194

=====

# 18
VASP calculation (PBE-GGA) on K2LiZnBr6 after structural relaxation.

```
10
Lattice="0.000 5.280 5.280 5.280 0.000 5.280 5.280 5.280 0.000" Properties=species:S:1:pos:R:3 pbc="T T T"
Br 2.607 5.280 5.280
Br 5.280 2.607 5.280
Br 5.280 5.280 7.953
Br 5.280 5.280 2.607
Br 7.953 5.280 5.280
Br 5.280 7.953 5.280
K 2.640 2.640 2.640
K 7.920 7.920 7.920
Li 5.280 5.280 5.280
Zn 0.000 0.000 0.000
```

Computed properties:
VASP energy: -2.689 eV per atom
Space group: Fm-3m, No. 225

=====

# 19
VASP calculation (PBE-GGA) on Li6Lu2O7 after structural relaxation.

```
15
Lattice="-4.556 -2.105 2.148 4.532 -4.017 0.166 2.393 1.957 4.377" Properties=species:S:1:pos:R:3 pbc="T T T"
Li -1.869 -4.021 2.248
Li 0.421 -1.936 2.539
Li 1.928 -0.159 1.923
Li -0.338 -0.180 4.361
Li 2.409 -2.158 4.605
Li 2.308 -4.102 6.548
Lu 2.295 -4.164 2.231
Lu 4.587 -1.947 2.396
O -2.627 -2.299 2.021
O 0.108 -3.927 2.336
O -0.065 -0.128 2.075
O 2.414 -1.967 2.386
O 2.216 -4.291 4.440
O 0.419 -1.901 4.588
O 4.637 -2.077 4.502
```

Computed properties:
Spin magnetization: 0.52 μB per cell
VASP energy: -5.908 eV per atom
Space group: P-1, No. 2

=====

# 20
VASP calculation (PBE-GGA) on Tb3In3CuNiAg after structural relaxation.

```
9
Lattice="-4.061 1.034 6.453 -1.127 -6.289 -4.288 2.704 -1.847 1.998" Properties=species:S:1:pos:R:3 pbc="T T T"
Ag 1.352 -0.923 0.999
Cu -2.105 -3.848 -0.708
In 0.558 -3.437 -0.250
In -1.784 -4.516 1.922
In -1.032 -6.359 -0.799
Ni -1.731 -2.330 3.871
Tb -3.074 0.199 4.344
Tb -1.750 -1.315 1.153
Tb -4.425 -3.103 3.121
```

Computed properties:
Spin magnetization: 0.00 μB per cell
VASP energy: -4.275 eV per atom
Space group: P-6, No. 174